Entry 1:
Computed, not measured: TaGaBN2 after structural relaxation at the PBE-GGA level of DFT.

Unit cell a=3.5652 b=3.5652 c=4.2697 alpha=90.00 beta=90.00 gamma=90.00
With the nearest neighbours (Å) after each atom.
Space group P4/mmm (No. 123)
Asymmetric unit:
Ta 0.0000 0.0000 0.0000 (multiplicity 1)  4 Ga 2.52, 8 N 2.78
Ga 0.5000 0.5000 0.0000 (multiplicity 1)  2 B 2.13
B 0.5000 0.5000 0.5000 (multiplicity 1)  4 N 1.78
N 0.0000 0.5000 0.5000 (multiplicity 2)  2 B 1.78

Calculated values
Fermi-level density of states, states/eV/atom: 0.510
Total magnetic moment, μB/f.u.: 0.00
Total energy, Ry/atom: -0.45576

Entry 2:
Computed, not measured: BaCa2Os after structural relaxation at the PBE-GGA level of DFT.

Unit cell a=3.6719 b=5.7910 c=12.7398 alpha=90.00 beta=90.00 gamma=90.00
With the nearest neighbours (Å) after each atom.
Space group Immm (No. 71)
Asymmetric unit:
Ba 0.0000 0.0000 0.0000 (multiplicity 2)  4 Os 3.43, 4 Ca 3.64, 2 Ba 3.67
Ca 0.0000 0.5000 0.1736 (multiplicity 4)  2 Os 2.87
Os 0.0000 0.0000 0.5000 (multiplicity 2)  4 Ca 2.87

Calculated values
Fermi-level density of states, states/eV/atom: 0.904
Total magnetic moment, μB/f.u.: 0.00
Energy relative to the lowest polymorph listed for this composition, meV per atom: 26.4
DFT formation energy, meV/atom: 425.1
Total energy, Ry/atom: -0.28399

What did the second record say?
Computed, not measured: BaCa2Os after structural relaxation at the PBE-GGA level of DFT.

Unit cell a=3.6719 b=5.7910 c=12.7398 alpha=90.00 beta=90.00 gamma=90.00
With the nearest neighbours (Å) after each atom.
Space group Immm (No. 71)
Asymmetric unit:
Ba 0.0000 0.0000 0.0000 (multiplicity 2)  4 Os 3.43, 4 Ca 3.64, 2 Ba 3.67
Ca 0.0000 0.5000 0.1736 (multiplicity 4)  2 Os 2.87
Os 0.0000 0.0000 0.5000 (multiplicity 2)  4 Ca 2.87

Calculated values
Fermi-level density of states, states/eV/atom: 0.904
Total magnetic moment, μB/f.u.: 0.00
Energy relative to the lowest polymorph listed for this composition, meV per atom: 26.4
DFT formation energy, meV/atom: 425.1
Total energy, Ry/atom: -0.28399